<w>
Here is a geometry-optimized NaAl2Fe structure from the Alexandria database. Energies are from GGA-PBE.

Cell: 5.1912 5.1912 15.8096 Å, 90.00 90.00 90.00°
Last column: nearest neighbours and their distance in Å.
Space group I4_1/amd (No. 141, origin choice 2)
Symmetry-distinct sites (fractional):
Na (0.0000, 0.2500, 0.3750) (multiplicity 4)  8 Al 3.51, 4 Fe 3.67
Al (0.0000, 0.0000, 0.0000) (multiplicity 8)  2 Fe 2.36, 2 Al 2.60
Fe (0.0000, 0.2500, 0.8750) (multiplicity 4)  4 Al 2.36

Properties
Fermi-level density of states ... 16.2 states/eV per cell
Magnetic moment ... 1.328 μB/f.u.

=====

<x>
Here is a geometry-optimized NaAl2Fe structure from the Alexandria database. Energies are from GGA-PBE.

Cell: 6.2088 6.2088 6.2088 Å, 90.00 90.00 90.00°
Last column: nearest neighbours and their distance in Å.
Space group Fm-3m (No. 225)
Symmetry-distinct sites (fractional):
Na (0.0000, 0.0000, 0.0000) (multiplicity 4)  8 Al 2.69
Al (0.2500, 0.2500, 0.2500) (multiplicity 8)  4 Fe 2.69, 4 Na 2.69
Fe (0.0000, 0.0000, 0.5000) (multiplicity 4)  8 Al 2.69

Properties
Fermi-level density of states ... 13.9 states/eV per cell
Magnetic moment ... 0.001 μB/f.u.

=====

So which one wins? Going from most stable to least: <x>, <w>.